A geometry-optimized Ce8Hg2Sb structure, computed with PBE.

a b c (Å): 5.537 8.507 8.336
angles (deg): 59.32 80.14 70.39
Last column: magnetic moment on the atom in μB.
Sites, in units of the cell vectors:
Ce: 0.913 0.083 0.193  0.35
Ce: 0.913 0.275 0.807  0.35
Ce: 0.341 0.404 0.000  0.48
Ce: 0.500 0.773 0.454  0.89
Ce: 0.500 0.227 0.546  0.89
Ce: 0.659 0.596 0.000  0.48
Ce: 0.087 0.725 0.193  0.35
Ce: 0.087 0.917 0.807  0.35
Hg: 0.000 0.311 0.378  0.01
Hg: 0.000 0.689 0.622  0.01
Sb: 0.500 0.000 0.000  -0.01

Results
The uncorrected formation energy comes out at -0.20 eV/atom. The value obtained for the volume is 28.92 A^3/atom. The calculated density comes out at 8.581 g/cm³. The crystal system is monoclinic.